Record 1
Computed, not measured: SrHf2Tl2 after structural relaxation at the PBE-GGA level of DFT.

POSCAR file:
```
SrHf2Tl2
1.0
-1.164 1.585 4.530
0.197 -4.641 1.675
5.496 -0.810 4.387
Sr Tl Hf
1 2 2
direct
0.000 0.000 0.000
0.750 0.250 0.500
0.250 0.750 0.500
0.383 0.383 0.235
0.617 0.617 0.765
```

Output
For the relative energy among the computed polymorphs, the calculation gives 24.52 kJ/mol of atoms. The total energy is -4.8541 eV per atom. The calculated formation energy is 0.41 eV per atom. Its total magnetization is 0.0 μB per cell. Its density of states at the Fermi level is 0.7224 states/eV per atom.

=====

Record 2
Computed, not measured: CsMg2Pd2 after structural relaxation at the PBE-GGA level of DFT.

POSCAR file:
```
CsMg2Pd2
1.0
8.484 0.000 0.000
0.000 8.484 0.000
0.000 0.000 3.147
Cs Mg Pd
2 4 4
direct
0.000 0.000 0.000
0.500 0.500 0.000
0.373 0.873 0.000
0.873 0.627 0.000
0.627 0.127 0.000
0.127 0.373 0.000
0.149 0.649 0.500
0.649 0.851 0.500
0.851 0.351 0.500
0.351 0.149 0.500
```

Output
For the relative energy among the computed polymorphs, the calculation gives 3.62 kJ/mol of atoms. The total energy is -3.0557 eV per atom. The calculated formation energy is -0.17 eV per atom. Its total magnetization is 0.0 μB per cell. Its density of states at the Fermi level is 0.4536 states/eV per atom.

=====

Record 3
Computed, not measured: HfGe3Cl after structural relaxation at the PBE-GGA level of DFT.

POSCAR file:
```
HfGe3Cl
1.0
-5.016 0.351 -1.542
0.067 -5.077 -1.374
-1.580 -1.330 4.837
Ge Hf Cl
3 1 1
direct
0.000 0.500 0.000
0.000 0.000 0.500
0.500 0.000 0.000
0.000 0.000 0.000
0.500 0.500 0.500
```

Output
For the relative energy among the computed polymorphs, the calculation gives 0.00 kJ/mol of atoms. The total energy is -4.6942 eV per atom. Its total magnetization is 0.0 μB per cell. Its density of states at the Fermi level is 1.1434 states/eV per atom.